Below is a relaxed Si2TcP crystal, with properties calculated at the PBE-GGA level. Values from VASP.

The structure in Quantum ESPRESSO input format:
```
&SYSTEM
  ibrav = 0, nat = 4, ntyp = 3
/
ATOMIC_SPECIES
P 30.97 P.upf
Si 28.09 Si.upf
Tc 98.00 Tc.upf
CELL_PARAMETERS angstrom
7.111 0.005 0.003
6.443 3.007 0.003
6.443 1.432 2.645
ATOMIC_POSITIONS angstrom
P 14.998 3.333 1.988
Si 0.043 0.010 0.006
Si 9.956 2.212 1.319
Tc 4.999 1.111 0.663
```

Properties
Space-group type: No. 166
Formation energy from raw total energies (eV/atom): -0.01
Size of the total moment (μB/atom): 0.000